# HfFeC3

A relaxed structure of HfFeC3 (PBE, the Alexandria database).

```
data_HfFeC3
_cell_length_a 3.7222
_cell_length_b 3.7222
_cell_length_c 3.7222
_cell_angle_alpha 90.00
_cell_angle_beta 90.00
_cell_angle_gamma 90.00
_space_group_name_H-M_alt 'P m -3 m'
_space_group_IT_number 221
_space_group_name_Hall '-P 4 2 3'
loop_
_atom_site_label
_atom_site_fract_x
_atom_site_fract_y
_atom_site_fract_z
Hf1 0.0000 0.0000 0.0000
Fe1 0.5000 0.5000 0.5000
C1 0.0000 0.5000 0.5000
```

- ΔH_f (0 K): 119.0 kJ per mole of atoms
- Polymorph energy (0 for the lowest one): 0 meV per atom
- N(E_F): 6.41 states/eV/cell